Compound: Pa3MnSe2O6
Source: Alexandria
Functional: PBE+U
Structure: optimized geometry

Structure (POSCAR):
```
Pa3MnSe2O6
1.0
6.066 -3.789 0.000
6.066 3.789 0.000
-1.683 0.000 5.563
Pa Mn Se O
3 1 2 6
Cartesian
0.000 0.000 0.000 Pa
2.192 1.895 2.782 Pa
2.192 -1.895 2.782 Pa
5.225 0.000 2.782 Mn
1.059 0.000 4.664 Se
9.390 0.000 0.899 Se
3.799 2.291 4.113 O
6.650 2.291 1.450 O
3.321 0.000 2.349 O
7.129 0.000 3.214 O
3.799 -2.291 4.113 O
6.650 -2.291 1.450 O
```

Energy: -8.675 eV per atom